Computed, not measured: a geometry-optimized DyY2Mg3CdGa2 structure at the PBE level of DFT. Values from VASP.

```
&SYSTEM
  ibrav = 0, nat = 9, ntyp = 5
/
ATOMIC_SPECIES
Cd 112.41 Cd.upf
Dy 162.50 Dy.upf
Ga 69.72 Ga.upf
Mg 24.30 Mg.upf
Y 88.91 Y.upf
ATOMIC_POSITIONS crystal
Cd 0.000 0.000 0.000
Dy 0.000 0.431 0.431
Ga 0.500 0.666 0.334
Ga 0.500 0.334 0.666
Mg 0.500 0.249 0.000
Mg 0.500 0.000 0.249
Mg 0.500 0.751 0.751
Y 0.000 0.569 0.000
Y 0.000 0.000 0.569
CELL_PARAMETERS angstrom
4.462 0.000 0.000
0.000 6.389 3.690
0.000 -6.389 3.690
```

---

Computed, not measured: a geometry-optimized Tb2DyTlCd3Ga2 structure at the PBE level of DFT. Values from VASP.

```
&SYSTEM
  ibrav = 0, nat = 9, ntyp = 5
/
ATOMIC_SPECIES
Cd 112.41 Cd.upf
Dy 162.50 Dy.upf
Ga 69.72 Ga.upf
Tb 158.93 Tb.upf
Tl 204.38 Tl.upf
ATOMIC_POSITIONS crystal
Cd 0.500 0.260 0.000
Cd 0.500 0.000 0.260
Cd 0.500 0.739 0.739
Dy 0.000 0.433 0.433
Ga 0.500 0.666 0.334
Ga 0.500 0.334 0.666
Tb 0.000 0.000 0.567
Tb 0.000 0.567 0.000
Tl 0.000 0.001 0.001
CELL_PARAMETERS angstrom
4.522 0.000 0.000
0.000 6.366 3.679
0.000 -6.366 3.679
```

---

Computed, not measured: a geometry-optimized Dy2TmTlCd3Ga2 structure at the PBE level of DFT. Values from VASP.

```
&SYSTEM
  ibrav = 0, nat = 9, ntyp = 5
/
ATOMIC_SPECIES
Cd 112.41 Cd.upf
Dy 162.50 Dy.upf
Ga 69.72 Ga.upf
Tl 204.38 Tl.upf
Tm 168.93 Tm.upf
ATOMIC_POSITIONS crystal
Cd 0.500 0.740 0.000
Cd 0.500 0.261 0.261
Cd 0.500 0.000 0.740
Dy 0.000 0.434 0.001
Dy 0.000 0.001 0.434
Ga 0.500 0.666 0.335
Ga 0.500 0.335 0.666
Tl 0.000 0.998 0.998
Tm 0.000 0.566 0.566
CELL_PARAMETERS angstrom
-4.406 0.457 -0.824
-1.379 -5.875 4.121
0.117 6.637 3.055
```

---

Computed, not measured: a geometry-optimized Dy2TmCd3Ga3 structure at the PBE level of DFT. Values from VASP.

```
&SYSTEM
  ibrav = 0, nat = 9, ntyp = 4
/
ATOMIC_SPECIES
Cd 112.41 Cd.upf
Dy 162.50 Dy.upf
Ga 69.72 Ga.upf
Tm 168.93 Tm.upf
ATOMIC_POSITIONS crystal
Cd 0.500 0.750 0.000
Cd 0.500 0.250 0.250
Cd 0.500 0.000 0.750
Dy 0.000 0.425 0.001
Dy 0.000 0.001 0.425
Ga 0.500 0.666 0.335
Ga 0.500 0.335 0.666
Ga 0.000 0.998 0.998
Tm 0.000 0.576 0.576
CELL_PARAMETERS angstrom
4.394 0.000 0.000
0.000 6.252 3.624
0.000 -6.252 3.624
```

---

| no. | calculated density (Mg/m³) | energy (eV per atom) | size of the total moment (μB/cell) |
| --- | --- | --- | --- |
| 1 | 5.2 | -3.689 | 0.01 |
| 2 | 9.1 | -3.228 | 0.01 |
| 3 | 9.3 | -3.188 | 0.00 |
| 4 | 8.7 | -3.341 | 0.00 |